Entry 1:
Material: ZrZnF2
Method: DFT, PBE
State: relaxed

Computed properties:
formation energy without anion corrections: -1.699 eV/atom

Unit cell a=4.0428 b=4.0428 c=7.9051 alpha=75.18 beta=75.18 gamma=90.00
With the nearest neighbours (Å) after each atom.
Sites, in units of the cell vectors:
Zn 0.5000 0.5000 0.0000  4 F 2.53
Zn 0.2500 0.7500 0.5000  4 F 2.53
Zr 0.0000 0.0000 0.0000  4 F 2.19
Zr 0.7500 0.2500 0.5000  4 F 2.19
F 0.7228 0.1250 0.2500  2 Zr 2.19, 2 F 2.37
F 0.0272 0.6250 0.2500  2 Zr 2.19, 2 F 2.37
F 0.3750 0.2772 0.7500  2 Zr 2.19, 2 F 2.37
F 0.8750 0.9728 0.7500  2 Zr 2.19, 2 F 2.37

***

Entry 2:
Material: ZrZnF3
Method: DFT, PBE
State: relaxed

Computed properties:
formation energy without anion corrections: -2.329 eV/atom

Unit cell a=4.3539 b=4.3539 c=4.3539 alpha=90.00 beta=90.00 gamma=90.00
With the nearest neighbours (Å) after each atom.
Sites, in units of the cell vectors:
Zn 0.5000 0.5000 0.5000  12 F 3.08
Zr 0.0000 0.0000 0.0000  6 F 2.18
F 0.0000 0.5000 0.0000  2 Zr 2.18
F 0.0000 0.0000 0.5000  2 Zr 2.18
F 0.5000 0.0000 0.0000  2 Zr 2.18

***

Entry 3:
Material: ZrZnF2
Method: DFT, PBE
State: relaxed

Computed properties:
formation energy without anion corrections: -1.884 eV/atom

Unit cell a=8.2790 b=8.2790 c=8.2790 alpha=19.85 beta=19.85 gamma=19.85
With the nearest neighbours (Å) after each atom.
Sites, in units of the cell vectors:
Zn 0.0000 0.0000 0.0000  2 F 2.49
Zr 0.5000 0.5000 0.5000  6 F 2.27
F 0.8976 0.8976 0.8976  3 Zr 2.27, 1 Zn 2.49
F 0.1024 0.1024 0.1024  3 Zr 2.27, 1 Zn 2.49

***

Entry 4:
Material: ZrZn2F
Method: DFT, PBE
State: relaxed

Computed properties:
formation energy without anion corrections: -0.203 eV/atom

Unit cell a=4.5781 b=4.5781 c=4.5781 alpha=60.00 beta=60.00 gamma=60.00
With the nearest neighbours (Å) after each atom.
Sites, in units of the cell vectors:
Zn 0.2500 0.2500 0.2500  4 Zr 2.80, 4 F 2.80
Zn 0.7500 0.7500 0.7500  4 Zr 2.80, 4 F 2.80
Zr 0.5000 0.5000 0.5000  8 Zn 2.80
F 0.0000 0.0000 0.0000  8 Zn 2.80

***

Entry 5:
Material: Zr3ZnF6
Method: DFT, PBE
State: relaxed

Computed properties:
formation energy without anion corrections: -2.334 eV/atom

Unit cell a=6.2904 b=6.1436 c=5.5887 alpha=104.98 beta=63.48 gamma=114.75
With the nearest neighbours (Å) after each atom.
Sites, in units of the cell vectors:
Zr 0.0000 0.0000 0.5000  2 F 2.08
Zr 0.5000 0.0000 0.0000  4 F 2.12-2.14
Zr 0.0000 0.5000 0.0000  6 F 2.14-2.34
Zn 0.0000 0.0000 0.0000  2 F 2.63, 2 Zr 2.79
F 0.3344 0.6315 0.0869  2 Zr 2.14
F 0.6656 0.3685 0.9131  2 Zr 2.14
F 0.8732 0.6269 0.4272  2 Zr 2.08-2.19
F 0.1268 0.3731 0.5728  2 Zr 2.08-2.19
F 0.6631 0.2103 0.2829  2 Zr 2.12-2.34
F 0.3369 0.7897 0.7171  2 Zr 2.12-2.34

***

Entry 6:
Material: ZrZn2F
Method: DFT, PBE
State: relaxed

Computed properties:
formation energy without anion corrections: -0.655 eV/atom

Unit cell a=7.7605 b=7.7605 c=5.9369 alpha=49.19 beta=49.19 gamma=90.00
With the nearest neighbours (Å) after each atom.
Sites, in units of the cell vectors:
Zn 0.5886 0.1250 0.2500  2 Zn 2.34, 2 F 2.61
Zn 0.1614 0.6250 0.2500  2 Zn 2.34, 2 F 2.61
Zn 0.3750 0.4114 0.7500  2 Zn 2.34, 2 F 2.61
Zn 0.8750 0.8386 0.7500  2 Zn 2.34, 2 F 2.61
Zr 0.0000 0.0000 0.0000  2 F 2.27
Zr 0.7500 0.2500 0.5000  2 F 2.27
F 0.5000 0.5000 0.0000  2 Zr 2.27
F 0.2500 0.7500 0.5000  2 Zr 2.27

***

Entry 7:
Material: ZrZnF2
Method: DFT, PBE
State: relaxed

Computed properties:
formation energy without anion corrections: -1.288 eV/atom

Unit cell a=4.3173 b=4.3173 c=4.3173 alpha=60.00 beta=60.00 gamma=60.00
With the nearest neighbours (Å) after each atom.
Sites, in units of the cell vectors:
Zn 0.0000 0.0000 0.0000  8 F 2.64
Zr 0.5000 0.5000 0.5000  8 F 2.64
F 0.2500 0.2500 0.2500  4 Zr 2.64, 4 Zn 2.64
F 0.7500 0.7500 0.7500  4 Zr 2.64, 4 Zn 2.64

***

Entry 8:
Material: ZrZnF
Method: DFT, PBE
State: relaxed

Computed properties:
formation energy without anion corrections: -1.306 eV/atom

Unit cell a=3.0309 b=3.0302 c=13.5119 alpha=90.00 beta=90.00 gamma=120.01
With the nearest neighbours (Å) after each atom.
Sites, in units of the cell vectors:
Zn 0.5559 0.1118 0.0000  6 Zr 2.99, 6 Zn 3.03
Zn 0.5545 0.1091 0.5000  2 F 2.82, 6 Zn 3.03
F 0.5557 0.1113 0.2912  3 Zr 2.31
F 0.5557 0.1113 0.7088  3 Zr 2.31
Zr 0.2224 0.4448 0.8205  3 F 2.31
Zr 0.2224 0.4448 0.1795  3 F 2.31

***

Entry 9:
Material: ZrZnF6
Method: DFT, PBE
State: relaxed

Computed properties:
formation energy without anion corrections: -3.188 eV/atom

Unit cell a=5.7888 b=5.7888 c=5.7850 alpha=59.92 beta=59.92 gamma=59.94
With the nearest neighbours (Å) after each atom.
Sites, in units of the cell vectors:
Zn 0.0000 0.0000 0.0000  6 F 2.05
Zr 0.5000 0.5000 0.5000  6 F 2.04
F 0.2509 0.7495 0.2506  1 Zr 2.04, 1 Zn 2.05
F 0.7495 0.2509 0.2506  1 Zr 2.04, 1 Zn 2.05
F 0.2505 0.7491 0.7494  1 Zr 2.04, 1 Zn 2.05
F 0.7491 0.2505 0.7494  1 Zr 2.04, 1 Zn 2.05
F 0.2507 0.2507 0.7495  1 Zr 2.04, 1 Zn 2.05
F 0.7493 0.7493 0.2505  1 Zr 2.04, 1 Zn 2.05

***

Entry 10:
Material: Zr3ZnF
Method: DFT, PBE
State: relaxed

Computed properties:
formation energy without anion corrections: -0.545 eV/atom

Unit cell a=4.5158 b=4.5158 c=4.5158 alpha=90.00 beta=90.00 gamma=90.00
With the nearest neighbours (Å) after each atom.
Sites, in units of the cell vectors:
Zn 0.5000 0.5000 0.5000  12 Zr 3.19
Zr 0.0000 0.5000 0.0000  2 F 2.26
Zr 0.0000 0.0000 0.5000  2 F 2.26
Zr 0.5000 0.0000 0.0000  2 F 2.26
F 0.0000 0.0000 0.0000  6 Zr 2.26

***

Entry 11:
Material: ZrZn3F
Method: DFT, PBE
State: relaxed

Computed properties:
formation energy without anion corrections: -0.273 eV/atom

Unit cell a=4.4005 b=4.4005 c=4.4005 alpha=90.00 beta=90.00 gamma=90.00
With the nearest neighbours (Å) after each atom.
Sites, in units of the cell vectors:
Zn 0.0000 0.5000 0.0000  2 F 2.20
Zn 0.0000 0.0000 0.5000  2 F 2.20
Zn 0.5000 0.0000 0.0000  2 F 2.20
Zr 0.5000 0.5000 0.5000  12 Zn 3.11
F 0.0000 0.0000 0.0000  6 Zn 2.20

***

Entry 12:
Material: Zr2ZnF11
Method: DFT, PBE
State: relaxed

Computed properties:
formation energy without anion corrections: -3.071 eV/atom

Unit cell a=8.2178 b=7.8497 c=8.5247 alpha=72.56 beta=61.18 gamma=58.44
With the nearest neighbours (Å) after each atom.
Sites, in units of the cell vectors:
Zr 0.5960 0.7220 0.2858  7 F 2.03-2.27
Zr 0.4040 0.2780 0.7142  7 F 2.03-2.27
Zr 0.8962 0.2220 0.7858  7 F 2.03-2.27
Zr 0.1038 0.7780 0.2142  7 F 2.03-2.27
Zn 0.8674 0.7500 0.7500  6 F 2.04-2.09
Zn 0.1326 0.2500 0.2500  6 F 2.04-2.09
F 0.5233 0.7403 0.5480  1 Zr 2.05, 1 F 2.16
F 0.4767 0.2597 0.4520  1 Zr 2.05, 1 F 2.16
F 0.1415 0.5414 0.7859  1 Zr 2.03, 1 Zn 2.09
F 0.9688 0.9586 0.7141  1 Zr 2.03, 1 Zn 2.09
F 0.8585 0.4586 0.2141  1 Zr 2.03, 1 Zn 2.09
F 0.0312 0.0414 0.2859  1 Zr 2.03, 1 Zn 2.09
F 0.3116 0.7597 0.9520  1 Zr 2.05, 1 F 2.16
F 0.6884 0.2403 0.0480  1 Zr 2.05, 1 F 2.16
F 0.5000 0.5000 0.5000  2 F 2.16, 2 Zr 2.27
F 0.0000 0.0000 0.0000  2 F 2.16, 2 Zr 2.27
F 0.8128 0.8115 0.2695  2 Zr 2.08-2.17
F 0.1872 0.1885 0.7305  2 Zr 2.08-2.17
F 0.6062 0.3115 0.7695  2 Zr 2.08-2.17
F 0.3938 0.6885 0.2305  2 Zr 2.08-2.17
F 0.3803 0.0173 0.3034  1 Zr 2.05, 1 Zn 2.05
F 0.6197 0.9827 0.6966  1 Zr 2.05, 1 Zn 2.05
F 0.2904 0.1987 0.9841  1 Zn 2.04, 1 Zr 2.06
F 0.9732 0.3013 0.5159  1 Zn 2.04, 1 Zr 2.06
F 0.7096 0.8013 0.0159  1 Zn 2.04, 1 Zr 2.06
F 0.0268 0.6987 0.4841  1 Zn 2.04, 1 Zr 2.06
F 0.2011 0.4827 0.1966  1 Zr 2.05, 1 Zn 2.05
F 0.7989 0.5173 0.8034  1 Zr 2.05, 1 Zn 2.05

***

Entry 13:
Material: ZrZnF3
Method: DFT, PBE
State: relaxed

Computed properties:
formation energy without anion corrections: -1.442 eV/atom

Unit cell a=4.1676 b=4.1676 c=4.1676 alpha=90.00 beta=90.00 gamma=90.00
With the nearest neighbours (Å) after each atom.
Sites, in units of the cell vectors:
Zn 0.0000 0.0000 0.0000  6 F 2.08
Zr 0.5000 0.5000 0.5000  12 F 2.95
F 0.0000 0.5000 0.0000  2 Zn 2.08
F 0.0000 0.0000 0.5000  2 Zn 2.08
F 0.5000 0.0000 0.0000  2 Zn 2.08

***

Entry 14:
Material: ZrZnF2
Method: DFT, PBE
State: relaxed

Computed properties:
formation energy without anion corrections: -1.601 eV/atom

Unit cell a=8.5138 b=8.5138 c=8.5138 alpha=20.45 beta=20.45 gamma=20.45
With the nearest neighbours (Å) after each atom.
Sites, in units of the cell vectors:
Zn 0.5000 0.5000 0.5000  6 F 2.79, 6 Zn 3.02
Zr 0.0000 0.0000 0.0000  2 F 1.99
F 0.9205 0.9205 0.9205  1 Zr 1.99
F 0.0795 0.0795 0.0795  1 Zr 1.99

***

Entry 15:
Material: ZrF3
Method: DFT, PBE
State: relaxed

Computed properties:
formation energy without anion corrections: -3.134 eV/atom

Unit cell a=5.5621 b=5.1484 c=5.4047 alpha=118.50 beta=90.00 gamma=90.00
With the nearest neighbours (Å) after each atom.
Sites, in units of the cell vectors:
Zr 0.0000 0.0000 0.0000  6 F 2.16-2.17
Zr 0.5000 0.0000 0.0000  6 F 2.16-2.17
F 0.7500 0.6780 0.9999  2 Zr 2.16
F 0.2500 0.3220 0.0001  2 Zr 2.16
F 0.7500 0.2911 0.3196  2 Zr 2.17
F 0.2500 0.0285 0.3193  2 Zr 2.17
F 0.2500 0.7089 0.6804  2 Zr 2.17
F 0.7500 0.9715 0.6807  2 Zr 2.17

***

Entry 16:
Material: ZrF5
Method: DFT, PBE
State: relaxed

Computed properties:
formation energy without anion corrections: -2.546 eV/atom

Unit cell a=2.9327 b=5.6520 c=5.9347 alpha=98.83 beta=75.70 gamma=74.96
With the nearest neighbours (Å) after each atom.
Sites, in units of the cell vectors:
Zr 0.0279 0.0034 0.9409  8 F 2.15-2.23
F 0.4234 0.9517 0.2016  2 Zr 2.16, 2 F 2.26-2.30
F 0.6400 0.0426 0.6773  2 Zr 2.15, 2 F 2.28-2.31
F 0.7381 0.6892 0.8345  3 F 2.14-2.31, 2 Zr 2.23
F 0.0151 0.5067 0.4630  2 F 2.14-2.38
F 0.3221 0.3064 0.0493  2 Zr 2.19, 3 F 2.28-2.38

***

Entry 17:
Material: ZrF3
Method: DFT, PBE
State: relaxed

Computed properties:
formation energy without anion corrections: -1.435 eV/atom

Unit cell a=8.4461 b=8.4461 c=8.4461 alpha=23.28 beta=23.28 gamma=23.28
With the nearest neighbours (Å) after each atom.
Sites, in units of the cell vectors:
Zr 0.0000 0.0000 0.0000  2 F 1.93
F 0.5000 0.5000 0.5000  6 F 2.93
F 0.9217 0.9217 0.9217  1 Zr 1.93
F 0.0783 0.0783 0.0783  1 Zr 1.93

***

Entry 18:
Material: ZrF3
Method: DFT, PBE
State: relaxed

Computed properties:
formation energy without anion corrections: -2.808 eV/atom

Unit cell a=3.5491 b=3.5491 c=7.8484 alpha=76.93 beta=76.93 gamma=90.00
With the nearest neighbours (Å) after each atom.
Sites, in units of the cell vectors:
Zr 0.0000 0.0000 0.0000  4 F 2.18
Zr 0.7500 0.2500 0.5000  4 F 2.18
F 0.5000 0.5000 0.0000  4 F 2.32, 4 Zr 2.51
F 0.2500 0.7500 0.5000  4 F 2.32, 4 Zr 2.51
F 0.6760 0.1250 0.2500  2 Zr 2.18, 4 F 2.27-2.32
F 0.0740 0.6250 0.2500  2 Zr 2.18, 4 F 2.27-2.32
F 0.3750 0.3240 0.7500  2 Zr 2.18, 4 F 2.27-2.32
F 0.8750 0.9260 0.7500  2 Zr 2.18, 4 F 2.27-2.32

***

Entry 19:
Material: Zr4F
Method: DFT, PBE
State: relaxed

Computed properties:
formation energy without anion corrections: -0.631 eV/atom

Unit cell a=4.6377 b=4.6377 c=4.6377 alpha=90.00 beta=90.00 gamma=90.00
With the nearest neighbours (Å) after each atom.
Sites, in units of the cell vectors:
Zr 0.0000 0.0000 0.0000  12 Zr 3.28
Zr 0.5000 0.0000 0.5000  2 F 2.32
Zr 0.0000 0.5000 0.5000  2 F 2.32
Zr 0.5000 0.5000 0.0000  2 F 2.32
F 0.5000 0.5000 0.5000  6 Zr 2.32

***

Entry 20:
Material: Ga2Fe5
Method: DFT, PBE
State: relaxed

Computed properties:
energy: -6.758 eV per atom

Unit cell a=2.5854 b=8.4415 c=8.4415 alpha=90.00 beta=90.00 gamma=90.00
With the nearest neighbours (Å) after each atom.
Sites, in units of the cell vectors:
Ga 0.5000 0.6824 0.1824  10 Fe 2.53-2.59, 2 Ga 2.59
Ga 0.5000 0.1824 0.3176  10 Fe 2.53-2.59, 2 Ga 2.59
Ga 0.5000 0.8176 0.6824  10 Fe 2.53-2.59, 2 Ga 2.59
Ga 0.5000 0.3176 0.8176  10 Fe 2.53-2.59, 2 Ga 2.59
Fe 0.0000 0.5000 0.0000  6 Fe 2.53-2.59, 4 Ga 2.53
Fe 0.0000 0.2059 0.0589  6 Fe 2.53-2.81, 4 Ga 2.55-2.59
Fe 0.0000 0.9411 0.2059  6 Fe 2.53-2.81, 4 Ga 2.55-2.59
Fe 0.0000 0.4411 0.2941  6 Fe 2.53-2.81, 4 Ga 2.55-2.59
Fe 0.0000 0.7059 0.4411  6 Fe 2.53-2.81, 4 Ga 2.55-2.59
Fe 0.0000 0.0000 0.5000  6 Fe 2.53-2.59, 4 Ga 2.53
Fe 0.0000 0.2941 0.5589  6 Fe 2.53-2.81, 4 Ga 2.55-2.59
Fe 0.0000 0.5589 0.7059  6 Fe 2.53-2.81, 4 Ga 2.55-2.59
Fe 0.0000 0.0589 0.7941  6 Fe 2.53-2.81, 4 Ga 2.55-2.59
Fe 0.0000 0.7941 0.9411  6 Fe 2.53-2.81, 4 Ga 2.55-2.59

***

no.,size of the total moment (Bohr magnetons per cell)
1,0.00
2,1.00
3,0.00
4,0.00
5,0.73
6,0.00
7,1.95
8,0.00
9,0.00
10,0.00
11,0.00
12,2.06
13,2.59
14,0.00
15,0.53
16,1.00
17,0.93
18,0.00
19,0.00
20,24.62